Mn2CrFe: relaxed, GGA-PBE.

## Properties
M_tot, μB per atom: 0.1829
Density, g/cm³: 8.25
Space group: R-3m

Cell: 8.375 8.375 8.375 Å, 17.01 17.01 17.01°
Element x y z (fractional)
1 Mn 0.248 0.248 0.248
2 Mn 0.752 0.752 0.752
3 Cr 0.000 0.000 0.000
4 Fe 0.500 0.500 0.500

Mn2CrFe: relaxed, GGA-PBE.

## Properties
M_tot, μB per atom: 0.9187
Density, g/cm³: 8.04
Space group: F-43m

Cell: 3.992 3.992 3.992 Å, 60.00 60.00 60.00°
Element x y z (fractional)
1 Mn 0.000 0.000 0.000
2 Mn 0.250 0.250 0.250
3 Cr 0.500 0.500 0.500
4 Fe 0.750 0.750 0.750

Mn2CrFe: relaxed, GGA-PBE.

## Properties
M_tot, μB per atom: 0.9095
Density, g/cm³: 8.00
Space group: P4mm

Cell: 2.852 2.852 5.555 Å, 90.00 90.00 90.00°
Element x y z (fractional)
1 Mn 0.000 0.000 0.000
2 Mn 0.500 0.500 0.254
3 Cr 0.000 0.000 0.501
4 Fe 0.500 0.500 0.745

MnCr2Fe: relaxed, GGA-PBE.

## Properties
Energy above the most stable polymorph in this dataset, eV/atom: 0.048
M_tot, μB per atom: 0.5476
Density, g/cm³: 7.90
Space group: Imm2

Cell: 4.657 4.657 4.657 Å, 144.22 129.32 63.58°
Element x y z (fractional)
1 Mn 0.000 0.000 0.000
2 Cr 0.246 0.746 0.500
3 Cr 0.485 0.485 0.000
4 Fe 0.739 0.239 0.500

Number 1: ΔH_f (0 K) 0.16 eV per atom, final energy -8.94 eV per atom. Number 2: ΔH_f (0 K) 0.08 eV per atom, final energy -9.02 eV per atom. Number 3: ΔH_f (0 K) 0.10 eV per atom, final energy -9.01 eV per atom. Number 4: ΔH_f (0 K) 0.11 eV per atom, final energy -9.11 eV per atom.